i.
DFT (GGA-PBE) results for crystalline SbTe2Pb2 at its relaxed geometry.

Cell lengths 8.6767, 8.6767, 4.3314 Å; angles 90.00, 90.00, 90.00 degrees
With the nearest neighbours (Å) after each atom.
Fractional positions:
Sb 0.0000 0.0000 0.0000  4 Te 3.27
Sb 0.5000 0.5000 0.0000  4 Te 3.27
Te 0.1589 0.3411 0.0000  6 Pb 3.17-3.46, 2 Sb 3.27
Te 0.3411 0.8411 0.0000  6 Pb 3.17-3.46, 2 Sb 3.27
Te 0.6589 0.1589 0.0000  6 Pb 3.17-3.46, 2 Sb 3.27
Te 0.8411 0.6589 0.0000  6 Pb 3.17-3.46, 2 Sb 3.27
Pb 0.1523 0.6523 0.5000  6 Te 3.17-3.46
Pb 0.3477 0.1523 0.5000  6 Te 3.17-3.46
Pb 0.6523 0.8477 0.5000  6 Te 3.17-3.46
Pb 0.8477 0.3477 0.5000  6 Te 3.17-3.46

Values from the calculation:
* DOS(E_F): 0.812 states/eV/atom
* SG: P4/mbm (127)

=====

ii.
DFT (GGA-PBE) results for crystalline SbTe2Pb2 at its relaxed geometry.

Cell lengths 9.6098, 9.6098, 9.6098 Å; angles 154.18, 154.18, 36.83 degrees
With the nearest neighbours (Å) after each atom.
Fractional positions:
Sb 0.0000 0.0000 0.0000  8 Pb 3.46
Te 0.2500 0.7500 0.5000  4 Te 3.04
Te 0.7500 0.2500 0.5000  4 Te 3.04
Pb 0.4087 0.4087 0.0000  1 Pb 3.33, 4 Sb 3.46, 4 Te 3.60
Pb 0.5913 0.5913 0.0000  1 Pb 3.33, 4 Sb 3.46, 4 Te 3.60

Values from the calculation:
* DOS(E_F): 0.483 states/eV/atom
* SG: I4/mmm (139)

=====

Which one is most stable, and which one is least stable? i is the most stable of them, while ii is the least stable.

=====

i.
DFT (GGA-PBE) results for crystalline ZnSbTe2Pb at its relaxed geometry.

Cell lengths 5.4537, 5.4537, 5.1449 Å; angles 90.00, 90.00, 90.00 degrees
With the nearest neighbours (Å) after each atom.
Fractional positions:
Zn 0.0000 0.0000 0.0000  2 Sb 2.57, 4 Te 2.73
Sb 0.0000 0.0000 0.5000  2 Zn 2.57
Te 0.0000 0.5000 0.0000  2 Zn 2.73
Te 0.5000 0.0000 0.0000  2 Zn 2.73
Pb 0.5000 0.5000 0.5000  8 Te 3.75, 4 Sb 3.86

Values from the calculation:
* DOS(E_F): 0.865 states/eV/atom
* SG: P4/mmm (123)

=====

ii.
DFT (GGA-PBE) results for crystalline ZnSbTe2Pb at its relaxed geometry.

Cell lengths 5.8907, 5.8907, 5.9322 Å; angles 90.00, 90.00, 90.00 degrees
With the nearest neighbours (Å) after each atom.
Fractional positions:
Zn 0.0000 0.0000 0.0000  4 Sb 4.17, 8 Te 4.18
Sb 0.5000 0.5000 0.0000  2 Pb 2.97
Te 0.0000 0.5000 0.5000  2 Pb 2.95
Te 0.5000 0.0000 0.5000  2 Pb 2.95
Pb 0.5000 0.5000 0.5000  4 Te 2.95, 2 Sb 2.97

Values from the calculation:
* DOS(E_F): 1.225 states/eV/atom
* SG: P4/mmm (123)

=====

Which one is most stable, and which one is least stable? i is the most stable of them, while ii is the least stable.

=====

i.
DFT (GGA-PBE) results for crystalline Th2SbPb at its relaxed geometry.

Cell lengths 3.7479, 3.7479, 8.4365 Å; angles 90.00, 90.00, 90.00 degrees
With the nearest neighbours (Å) after each atom.
Fractional positions:
Th 0.0000 0.0000 0.2299  4 Sb 3.28, 4 Pb 3.50
Th 0.0000 0.0000 0.7701  4 Sb 3.28, 4 Pb 3.50
Sb 0.5000 0.5000 0.0000  8 Th 3.28
Pb 0.5000 0.5000 0.5000  8 Th 3.50, 4 Pb 3.75

Values from the calculation:
* DOS(E_F): 0.853 states/eV/atom
* SG: P4/mmm (123)

=====

ii.
DFT (GGA-PBE) results for crystalline Th2SbPb at its relaxed geometry.

Cell lengths 8.2303, 8.2303, 8.2303 Å; angles 31.50, 31.50, 31.50 degrees
With the nearest neighbours (Å) after each atom.
Fractional positions:
Th 0.0000 0.0000 0.0000  3 Sb 3.17, 3 Pb 3.27
Th 0.1725 0.1725 0.1725  3 Sb 3.22, 3 Pb 3.28
Sb 0.5883 0.5883 0.5883  6 Th 3.17-3.22
Pb 0.4192 0.4192 0.4192  6 Th 3.27-3.28

Values from the calculation:
* DOS(E_F): 0.972 states/eV/atom
* SG: R3m (160)

=====

iii.
DFT (GGA-PBE) results for crystalline Th2SbPb at its relaxed geometry.

Cell lengths 5.5125, 5.5125, 5.5125 Å; angles 60.00, 60.00, 60.00 degrees
With the nearest neighbours (Å) after each atom.
Fractional positions:
Th 0.2500 0.2500 0.2500  4 Pb 3.38, 4 Sb 3.38
Th 0.7500 0.7500 0.7500  4 Pb 3.38, 4 Sb 3.38
Sb 0.0000 0.0000 0.0000  8 Th 3.38
Pb 0.5000 0.5000 0.5000  8 Th 3.38

Values from the calculation:
* DOS(E_F): 1.307 states/eV/atom
* SG: Fm-3m (225)

=====

Which one is most stable, and which one is least stable? i is the most stable of them, while iii is the least stable.

=====

i.
DFT (GGA-PBE) results for crystalline ThSbPb at its relaxed geometry.

Cell lengths 9.5378, 9.5378, 9.5378 Å; angles 152.60, 152.60, 39.14 degrees
With the nearest neighbours (Å) after each atom.
Fractional positions:
Th 0.1467 0.1467 0.0000  5 Sb 3.20-3.24, 4 Pb 3.47
Th 0.8533 0.8533 0.0000  5 Sb 3.20-3.24, 4 Pb 3.47
Sb 0.3248 0.3248 0.0000  5 Th 3.20-3.24
Sb 0.6752 0.6752 0.0000  5 Th 3.20-3.24
Pb 0.0000 0.5000 0.5000  4 Pb 3.19, 4 Th 3.47
Pb 0.5000 0.0000 0.5000  4 Pb 3.19, 4 Th 3.47

Values from the calculation:
* DOS(E_F): 0.644 states/eV/atom
* SG: I4/mmm (139)

=====

ii.
DFT (GGA-PBE) results for crystalline ThSbPb at its relaxed geometry.

Cell lengths 4.5183, 4.5183, 9.0127 Å; angles 90.00, 90.00, 90.00 degrees
With the nearest neighbours (Å) after each atom.
Fractional positions:
Th 0.2500 0.2500 0.2012  5 Sb 3.22, 4 Pb 3.52
Th 0.7500 0.7500 0.7988  5 Sb 3.22, 4 Pb 3.52
Sb 0.2500 0.2500 0.8445  5 Th 3.22
Sb 0.7500 0.7500 0.1555  5 Th 3.22
Pb 0.2500 0.7500 0.5000  4 Pb 3.19, 4 Th 3.52
Pb 0.7500 0.2500 0.5000  4 Pb 3.19, 4 Th 3.52

Values from the calculation:
* DOS(E_F): 0.855 states/eV/atom
* SG: P4/nmm (129)

=====

Which one is most stable, and which one is least stable? ii is the most stable of them, while i is the least stable.

=====

i.
DFT (GGA-PBE) results for crystalline Ti4SbPb at its relaxed geometry.

Cell lengths 4.8579, 5.6293, 8.2496 Å; angles 90.00, 91.57, 90.00 degrees
With the nearest neighbours (Å) after each atom.
Fractional positions:
Ti 0.1940 0.2500 0.0897  4 Sb 2.70-2.86, 1 Pb 2.78, 2 Ti 2.90
Ti 0.2295 0.7500 0.4000  1 Sb 2.74, 4 Pb 2.82-2.83, 2 Ti 2.99
Ti 0.2513 0.0005 0.7564  5 Ti 2.81-3.11, 2 Sb 2.93-2.96, 1 Pb 3.08
Ti 0.2513 0.4995 0.7564  5 Ti 2.81-3.11, 2 Sb 2.93-2.96, 1 Pb 3.08
Ti 0.7487 0.9995 0.2436  5 Ti 2.81-3.11, 2 Sb 2.93-2.96, 1 Pb 3.08
Ti 0.7487 0.5005 0.2436  5 Ti 2.81-3.11, 2 Sb 2.93-2.96, 1 Pb 3.08
Ti 0.7705 0.2500 0.6000  1 Sb 2.74, 4 Pb 2.82-2.83, 2 Ti 2.99
Ti 0.8060 0.7500 0.9103  4 Sb 2.70-2.86, 1 Pb 2.78, 2 Ti 2.90
Sb 0.2982 0.7500 0.0716  9 Ti 2.70-2.96
Sb 0.7018 0.2500 0.9284  9 Ti 2.70-2.96
Pb 0.2616 0.2500 0.4248  7 Ti 2.78-3.08
Pb 0.7384 0.7500 0.5752  7 Ti 2.78-3.08

Values from the calculation:
* DOS(E_F): 0.884 states/eV/atom
* SG: P2_1/m (11)

=====

ii.
DFT (GGA-PBE) results for crystalline Ti4SbPb at its relaxed geometry.

Cell lengths 5.0526, 5.0526, 9.2906 Å; angles 117.03, 117.03, 36.01 degrees
With the nearest neighbours (Å) after each atom.
Fractional positions:
Ti 0.1959 0.1959 0.3412  1 Sb 2.81, 3 Pb 2.89-3.01, 6 Ti 2.91-3.12
Ti 0.1992 0.1992 0.8538  3 Sb 2.83-2.98, 6 Ti 2.87-3.12, 1 Pb 2.91
Ti 0.8008 0.8008 0.1462  3 Sb 2.83-2.98, 6 Ti 2.87-3.12, 1 Pb 2.91
Ti 0.8041 0.8041 0.6588  1 Sb 2.81, 3 Pb 2.89-3.01, 6 Ti 2.91-3.12
Sb 0.0000 0.0000 0.0000  8 Ti 2.81-2.98, 2 Sb 3.12
Pb 0.0000 0.0000 0.5000  8 Ti 2.89-3.01, 2 Pb 3.12

Values from the calculation:
* DOS(E_F): 1.552 states/eV/atom
* SG: C2/m (12)

=====

Which one is most stable, and which one is least stable? i is the most stable of them, while ii is the least stable.

=====

i.
DFT (GGA-PBE) results for crystalline Ti2SbPb at its relaxed geometry.

Cell lengths 7.7183, 7.7183, 7.7183 Å; angles 131.55, 131.55, 70.95 degrees
With the nearest neighbours (Å) after each atom.
Fractional positions:
Ti 0.1205 0.6250 0.9955  2 Sb 2.72, 2 Pb 2.75
Ti 0.3750 0.3705 0.4955  2 Sb 2.72, 2 Pb 2.75
Ti 0.6295 0.1250 0.0045  2 Sb 2.72, 2 Pb 2.75
Ti 0.8750 0.8795 0.5045  2 Sb 2.72, 2 Pb 2.75
Sb 0.0000 0.0000 0.0000  4 Ti 2.72
Sb 0.7500 0.2500 0.5000  4 Ti 2.72
Pb 0.2500 0.7500 0.5000  4 Ti 2.75
Pb 0.5000 0.5000 0.0000  4 Ti 2.75

Values from the calculation:
* DOS(E_F): 1.424 states/eV/atom
* SG: I-42d (122)

=====

ii.
DFT (GGA-PBE) results for crystalline Ti2SbPb at its relaxed geometry.

Cell lengths 7.6894, 7.6894, 7.6894 Å; angles 28.27, 28.27, 28.27 degrees
With the nearest neighbours (Å) after each atom.
Fractional positions:
Ti 0.0000 0.0000 0.0000  3 Sb 2.73, 3 Pb 2.94
Ti 0.1824 0.1824 0.1824  3 Sb 2.75, 3 Pb 2.98
Sb 0.5920 0.5920 0.5920  6 Ti 2.73-2.75
Pb 0.4232 0.4232 0.4232  6 Ti 2.94-2.98

Values from the calculation:
* DOS(E_F): 1.243 states/eV/atom
* SG: R3m (160)

=====

Which one is most stable, and which one is least stable? ii is the most stable of them, while i is the least stable.

=====

i.
DFT (GGA-PBE) results for crystalline Tl2Sb3Pb2 at its relaxed geometry.

Cell lengths 6.8074, 6.8074, 9.5299 Å; angles 127.27, 127.27, 45.80 degrees
With the nearest neighbours (Å) after each atom.
Fractional positions:
Tl 0.1834 0.1834 0.0860  3 Sb 3.28-3.45
Tl 0.8166 0.8166 0.9140  3 Sb 3.28-3.45
Sb 0.4687 0.4687 0.8084  2 Sb 3.19-3.21, 3 Pb 3.20-3.35, 2 Tl 3.45
Sb 0.5000 0.5000 0.5000  2 Sb 3.21, 4 Pb 3.25, 2 Tl 3.28
Sb 0.5313 0.5313 0.1916  2 Sb 3.19-3.21, 3 Pb 3.20-3.35, 2 Tl 3.45
Pb 0.1342 0.1342 0.4691  5 Sb 3.20-3.35
Pb 0.8658 0.8658 0.5309  5 Sb 3.20-3.35

Values from the calculation:
* DOS(E_F): 0.355 states/eV/atom
* SG: C2/m (12)

=====

ii.
DFT (GGA-PBE) results for crystalline Tl2Sb3Pb2 at its relaxed geometry.

Cell lengths 6.5934, 6.5934, 7.7673 Å; angles 104.49, 104.49, 44.79 degrees
With the nearest neighbours (Å) after each atom.
Fractional positions:
Tl 0.1260 0.1260 0.2645  4 Pb 3.47-3.64, 6 Sb 3.51-3.78
Tl 0.8740 0.8740 0.7355  4 Pb 3.47-3.64, 6 Sb 3.51-3.78
Sb 0.3958 0.3958 0.0590  1 Sb 2.93, 2 Pb 3.19
Sb 0.5000 0.5000 0.5000  2 Sb 3.31, 4 Pb 3.34, 4 Tl 3.68
Sb 0.6042 0.6042 0.9410  1 Sb 2.93, 2 Pb 3.19
Pb 0.1562 0.1562 0.7217  5 Sb 3.19-3.36, 2 Tl 3.47
Pb 0.8438 0.8438 0.2783  5 Sb 3.19-3.36, 2 Tl 3.47

Values from the calculation:
* DOS(E_F): 0.423 states/eV/atom
* SG: C2/m (12)

=====

Which one is most stable, and which one is least stable? i is the most stable of them, while ii is the least stable.

=====

i.
DFT (GGA-PBE) results for crystalline Tl2SbPb3 at its relaxed geometry.

Cell lengths 6.0636, 6.0636, 11.5024 Å; angles 93.84, 93.84, 116.80 degrees
With the nearest neighbours (Å) after each atom.
Fractional positions:
Tl 0.0000 0.0000 0.0000  6 Pb 3.45-3.46, 6 Sb 3.52-3.66
Tl 0.1692 0.8308 0.5000  6 Tl 3.42-3.63, 6 Pb 3.55-3.63
Tl 0.5000 0.5000 0.5000  6 Tl 3.42-3.63, 6 Pb 3.46-3.68
Tl 0.8308 0.1692 0.5000  6 Tl 3.42-3.63, 6 Pb 3.55-3.63
Sb 0.3539 0.6461 0.0000  1 Sb 3.02, 2 Pb 3.31
Sb 0.6461 0.3539 0.0000  1 Sb 3.02, 2 Pb 3.31
Pb 0.0824 0.4234 0.2359  2 Sb 3.31-3.52, 6 Pb 3.41-3.66, 4 Tl 3.45-3.68
Pb 0.2485 0.2485 0.7495  6 Pb 3.41-3.66, 2 Sb 3.46, 4 Tl 3.46-3.55
Pb 0.4234 0.0824 0.2359  2 Sb 3.31-3.52, 6 Pb 3.41-3.66, 4 Tl 3.45-3.68
Pb 0.5766 0.9176 0.7641  2 Sb 3.31-3.52, 6 Pb 3.41-3.66, 4 Tl 3.45-3.68
Pb 0.7515 0.7515 0.2505  6 Pb 3.41-3.66, 2 Sb 3.46, 4 Tl 3.46-3.55
Pb 0.9176 0.5766 0.7641  2 Sb 3.31-3.52, 6 Pb 3.41-3.66, 4 Tl 3.45-3.68

Values from the calculation:
* DOS(E_F): 0.565 states/eV/atom
* SG: C2/m (12)

=====

ii.
DFT (GGA-PBE) results for crystalline Tl2SbPb3 at its relaxed geometry.

Cell lengths 6.6744, 6.6744, 10.3334 Å; angles 90.00, 90.00, 120.00 degrees
With the nearest neighbours (Å) after each atom.
Fractional positions:
Tl 0.3333 0.6667 0.0715  4 Tl 3.69-4.13, 9 Pb 3.81-3.82, 3 Sb 3.92
Tl 0.3333 0.6667 0.4285  4 Tl 3.69-4.13, 9 Pb 3.81-3.82, 3 Sb 3.92
Tl 0.6667 0.3333 0.5715  4 Tl 3.69-4.13, 9 Pb 3.81-3.82, 3 Sb 3.92
Tl 0.6667 0.3333 0.9285  4 Tl 3.69-4.13, 9 Pb 3.81-3.82, 3 Sb 3.92
Sb 0.0000 0.0000 0.0000  6 Pb 3.24
Sb 0.0000 0.0000 0.5000  6 Pb 3.24
Pb 0.1698 0.3396 0.7500  2 Sb 3.24, 4 Pb 3.27-3.40
Pb 0.1698 0.8302 0.7500  2 Sb 3.24, 4 Pb 3.27-3.40
Pb 0.3396 0.1698 0.2500  2 Sb 3.24, 4 Pb 3.27-3.40
Pb 0.6604 0.8302 0.7500  2 Sb 3.24, 4 Pb 3.27-3.40
Pb 0.8302 0.1698 0.2500  2 Sb 3.24, 4 Pb 3.27-3.40
Pb 0.8302 0.6604 0.2500  2 Sb 3.24, 4 Pb 3.27-3.40

Values from the calculation:
* DOS(E_F): 0.345 states/eV/atom
* SG: P6_3/mmc (194)

=====

Which one is most stable, and which one is least stable? i is the most stable of them, while ii is the least stable.